# 1
A plane-wave DFT calculation with GGA-PBEsol was carried out for NbZn2P2 after structural relaxation.

abc: 4.545 4.978 4.545
angles: 62.84 90.00 117.16
Positions (direct):
P: 0.750 0.500 0.750
P: 0.250 0.500 0.250
Nb: 0.000 0.000 0.000
Zn: 0.650 0.299 0.350
Zn: 0.350 0.701 0.650

Output
formation energy from the elements	1.57	eV per formula unit
Fermi-level density of states	3.922	states/eV per cell
calculated volume	78.5	Å³ per cell

---

# 2
A plane-wave DFT calculation with GGA-PBEsol was carried out for Na3SrC after structural relaxation.

abc: 5.136 5.136 5.136
angles: 90.00 90.00 90.00
Positions (direct):
Sr: 0.500 0.500 0.500
C: 0.000 0.000 0.000
Na: 0.000 0.500 0.000
Na: 0.000 0.000 0.500
Na: 0.500 0.000 0.000

Output
formation energy from the elements	4.24	eV per formula unit
Fermi-level density of states	2.382	states/eV per cell
calculated volume	135.5	Å³ per cell

---

# 3
A plane-wave DFT calculation with GGA-PBEsol was carried out for LiSbPt2 after structural relaxation.

abc: 3.513 3.513 5.279
angles: 90.00 90.00 90.00
Positions (direct):
Sb: 0.000 0.000 0.476
Pt: 0.000 0.000 0.972
Pt: 0.500 0.500 0.267
Li: 0.500 0.500 0.785

Output
Fermi-level density of states	1.048	states/eV per cell
calculated volume	65.2	Å³ per cell
energy relative to the elements, uncorrected	-0.40	eV per atom